(1)
4
Lattice="5.151 0.008 0.000 -1.893 4.790 0.000 0.000 0.000 2.686" Properties=species:S:1:pos:R:3 comment="PBE KIr3, relaxed" volume_a3_per_atom=16.6 polymorph_energy_mev_per_atom=419.0 pbc="T T T"
Ir 1.629 2.399 0.000
Ir 2.575 0.004 1.343
Ir -0.947 2.395 1.343
K 0.000 0.000 0.000

---

(2)
10
Lattice="5.441 0.001 0.000 2.721 4.712 0.000 2.721 1.571 4.831" Properties=species:S:1:pos:R:3 comment="PBE NaLi2ErF6, relaxed" e_form_raw_kcal_per_mol_atoms=-77.6 volume_a3_per_atom=12.4 pbc="T T T"
Li 5.441 3.142 2.093
Li 2.722 1.572 4.507
F 6.424 1.887 3.660
F 6.038 4.621 3.660
F 4.423 4.581 1.169
F 7.197 3.305 1.171
F 3.864 2.920 3.660
F 4.705 1.540 1.170
Na 8.162 4.714 2.807
Er 2.721 1.571 0.332

---

(3)
4
Lattice="-6.692 -4.407 -4.201 -5.447 -6.806 -2.418 -7.604 -4.772 -1.115" Properties=species:S:1:pos:R:3 comment="PBE MoIrPb2, relaxed" volume_a3_per_atom=20.1 polymorph_energy_mev_per_atom=554.7 pbc="T T T"
Pb -9.913 -8.026 -3.883
Pb -19.702 -15.952 -7.717
Ir -4.936 -3.996 -1.933
Mo -14.808 -11.989 -5.800

---

(4)
8
Lattice="-3.374 -2.848 -2.381 0.756 -4.939 -0.448 -5.010 -3.904 6.485" Properties=species:S:1:pos:R:3 comment="PBE Li3PmTl4, relaxed" volume_a3_per_atom=23.4 pbc="T T T"
Tl -4.225 -8.295 0.056
Tl -2.394 -5.396 -0.722
Tl -3.403 -3.395 3.599
Tl -5.234 -6.294 4.377
Li -3.814 -5.845 1.828
Li -1.929 -2.930 0.954
Li -5.699 -8.761 2.702
Pm 0.000 0.000 0.000

---

(5)
5
Lattice="-1.283 1.477 -4.155 -4.137 -1.902 0.601 -1.528 3.911 1.862" Properties=species:S:1:pos:R:3 comment="PBE BeAl3Te, relaxed" e_form_raw_kcal_per_mol_atoms=4.5 volume_a3_per_atom=19.4 polymorph_energy_mev_per_atom=0.0 pbc="T T T"
Al -2.069 -0.951 0.301
Al -0.764 1.955 0.931
Al -0.642 0.739 -2.078
Te -3.474 1.743 -0.846
Be 0.000 0.000 0.000

---

(6)
12
Lattice="5.829 0.000 0.000 -2.914 5.048 0.000 0.000 0.000 9.609" Properties=species:S:1:pos:R:3 comment="PBE RbPa2CoS8, relaxed" e_form_raw_kcal_per_mol_atoms=-23.5 volume_a3_per_atom=23.6 pbc="T T T"
S 2.914 3.309 8.228
S 0.000 3.365 6.058
S 1.409 4.179 1.381
S -1.409 4.179 1.381
S 2.914 1.683 3.551
S 0.000 1.739 1.381
S 4.323 0.869 8.228
S 1.506 0.869 8.228
Rb 0.000 0.000 4.805
Pa 0.000 3.365 8.479
Pa 2.914 1.683 1.130
Co 0.000 0.000 0.000

---

(7)
4
Lattice="-1.247 5.193 1.612 -5.031 2.135 -1.117 -3.654 0.837 4.131" Properties=species:S:1:pos:R:3 comment="PBE SnBiTePb, relaxed" e_form_raw_kcal_per_mol_atoms=1.1 volume_a3_per_atom=30.7 polymorph_energy_mev_per_atom=131.2 pbc="T T T"
Bi -7.449 6.123 3.470
Te -2.483 2.041 1.157
Pb -4.966 4.082 2.313
Sn 0.000 0.000 0.000

---

(8)
6
Lattice="-4.709 -2.739 -1.086 -2.510 -4.428 -2.224 -1.223 -3.835 3.332" Properties=species:S:1:pos:R:3 comment="PBE BeTc2, relaxed" volume_a3_per_atom=12.5 polymorph_energy_mev_per_atom=258.7 pbc="T T T"
Be -5.567 -7.874 0.933
Be -2.875 -3.128 -0.911
Tc -3.014 -4.797 1.299
Tc -7.528 -8.175 -2.408
Tc -5.429 -6.206 -1.277
Tc -0.915 -2.828 2.431

---

(9)
4
Lattice="3.610 0.000 0.000 0.000 3.612 0.000 0.000 0.000 7.763" Properties=species:S:1:pos:R:3 comment="PBE LaMnTl2, relaxed" volume_a3_per_atom=25.3 pbc="T T T"
La 1.805 1.806 1.941
Tl 0.000 0.000 4.201
Tl 0.000 0.000 7.443
Mn 1.805 1.806 5.822

---

(10)
5
Lattice="4.761 0.000 0.000 0.000 4.761 0.000 0.000 0.000 4.761" Properties=species:S:1:pos:R:3 comment="PBE Os3PdC, relaxed" volume_a3_per_atom=21.6 polymorph_energy_mev_per_atom=3464.7 pbc="T T T"
Pd 0.000 0.000 0.000
C 2.380 2.380 2.380
Os 2.380 0.000 0.000
Os 0.000 0.000 2.380
Os 0.000 2.380 0.000

---

(11)
3
Lattice="-3.962 -0.210 -1.190 0.981 -2.106 -2.895 -0.887 -1.589 3.235" Properties=species:S:1:pos:R:3 comment="PBE YBRh, relaxed" volume_a3_per_atom=16.5 polymorph_energy_mev_per_atom=18.7 pbc="T T T"
Y -2.906 -1.901 0.399
Rh -0.660 -0.035 -0.198
B -0.302 -1.969 -1.050

---

(12)
20
Lattice="5.606 0.000 0.000 0.000 8.616 -2.866 0.000 -0.119 12.319" Properties=species:S:1:pos:R:3 comment="PBE LiTl6Pb3, relaxed" volume_a3_per_atom=29.7 pbc="T T T"
Tl 1.402 0.121 4.049
Tl 1.402 8.511 7.403
Tl 1.402 3.377 10.276
Tl 4.205 6.629 8.383
Tl 1.402 1.868 1.069
Tl 4.205 3.583 2.355
Tl 4.205 -0.014 2.050
Tl 4.205 5.119 -0.824
Tl 4.205 1.908 5.190
Tl 4.205 8.375 5.404
Tl 1.402 6.589 4.263
Tl 1.402 4.914 7.098
Pb 4.205 1.590 11.380
Pb 4.205 6.975 2.298
Pb 1.402 6.907 -1.928
Pb 1.402 5.301 1.159
Pb 1.402 1.522 7.154
Pb 4.205 3.195 8.294
Li 4.205 5.185 5.320
Li 1.402 3.311 4.132

---

(13)
10
Lattice="-0.179 -4.294 -2.791 4.634 -3.692 5.384 -6.935 -1.715 3.082" Properties=species:S:1:pos:R:3 comment="PBE CsDyAgS2, relaxed" e_form_raw_kcal_per_mol_atoms=-25.8 volume_a3_per_atom=31.6 pbc="T T T"
S -3.208 -7.209 5.442
S 0.728 -2.491 0.233
S 0.304 -5.301 4.583
S -2.783 -4.399 1.091
Ag -3.468 -0.857 1.541
Ag 0.000 0.000 0.000
Cs -2.908 -3.713 4.625
Cs 0.429 -5.987 1.049
Dy -1.822 -2.555 -0.611
Dy -5.292 -3.454 0.902

---

(14)
12
Lattice="-0.942 1.455 -3.485 -7.722 -2.993 0.839 1.532 11.656 4.452" Properties=species:S:1:pos:R:3 comment="PBE CsMgMnSe3, relaxed" e_form_raw_kcal_per_mol_atoms=-21.1 volume_a3_per_atom=30.9 pbc="T T T"
Se -3.144 9.099 3.562
Se -1.679 6.581 -0.059
Se -7.142 0.580 -1.086
Se -3.988 1.019 -1.756
Se -5.453 3.536 1.865
Se 0.010 9.538 2.892
Cs -5.118 7.159 1.113
Cs -2.014 2.958 0.693
Mg -0.171 7.115 1.930
Mg -6.961 3.002 -0.124
Mn -5.089 -0.202 0.206
Mn -2.043 10.319 1.600

---

(15)
18
Lattice="-2.853 0.401 -7.522 3.761 -3.919 -5.948 -3.427 -6.470 -3.358" Properties=species:S:1:pos:R:3 comment="PBE HoGa6Co2, relaxed" volume_a3_per_atom=20.5 pbc="T T T"
Ga 0.097 -4.960 -4.614
Ga -0.393 -7.927 -8.899
Ga 1.470 -4.410 -7.073
Ga -3.988 -5.579 -9.755
Ga -1.357 -0.035 -3.800
Ga 1.662 -2.007 -3.081
Ga -1.619 -3.171 -1.899
Ga -2.438 -5.797 -5.666
Ga -0.081 -4.192 -11.162
Ga -2.921 -2.988 -5.333
Ga -2.125 -2.062 -7.929
Ga 0.360 -1.824 -6.515
Co -2.028 -4.484 -3.782
Co -1.741 -1.048 -5.865
Co -0.315 -1.249 -2.104
Co 1.566 -3.208 -5.077
Ho -1.889 -7.491 -12.621
Ho -1.259 -4.994 -8.414

---

(16)
4
Lattice="-2.307 2.803 -3.272 -3.639 0.007 -3.264 -4.537 2.171 3.345" Properties=species:S:1:pos:R:3 comment="PBE LiZnIn2, relaxed" volume_a3_per_atom=21.2 pbc="T T T"
Zn -2.621 1.245 -0.798
In -5.237 2.488 -1.595
In -0.005 0.002 -0.001
Li -7.862 3.736 -2.394

---

(17)
4
Lattice="-2.332 3.300 1.763 -3.774 0.634 2.188 1.319 0.262 6.108" Properties=species:S:1:pos:R:3 comment="PBE AlAs2Ru, relaxed" volume_a3_per_atom=18.7 pbc="T T T"
Ru -2.376 2.050 4.788
Al -1.181 1.073 2.717
As -3.642 3.068 6.870
As 0.017 0.105 0.714

---

(18)
3
Lattice="6.660 0.026 -0.029 5.500 3.755 -0.027 1.159 0.359 3.712" Properties=species:S:1:pos:R:3 comment="PBE SrZrSb, relaxed" e_form_raw_kcal_per_mol_atoms=-7.5 volume_a3_per_atom=30.8 polymorph_energy_mev_per_atom=405.2 pbc="T T T"
Zr 8.044 2.501 1.354
Sr 4.865 1.512 2.443
Sb 1.570 0.486 3.571

---

(19)
5
Lattice="-0.296 -4.058 -2.393 1.924 -2.129 3.371 -4.241 -0.815 1.906" Properties=species:S:1:pos:R:3 comment="PBE MnTc2OsAu, relaxed" volume_a3_per_atom=19.7 pbc="T T T"
Os -1.306 -3.501 1.442
Mn 0.962 -1.064 1.686
Tc -0.148 -2.029 -1.197
Tc -2.121 -0.407 0.953
Au 0.000 0.000 0.000

---

(20)
6
Lattice="0.000 4.071 4.071 4.071 0.000 4.071 4.071 4.071 0.000" Properties=species:S:1:pos:R:3 comment="PBE MgTlAs4, relaxed" volume_a3_per_atom=22.5 pbc="T T T"
As 5.073 3.069 5.073
As 5.073 5.073 3.069
As 3.069 5.073 5.073
As 3.069 3.069 3.069
Tl 0.000 0.000 0.000
Mg 6.106 6.106 6.106

---

DOS(E_F) per entry: 3.91; 0.00; 4.40; 2.59; 1.53; 2.37; 4.42; 4.19; 2.83; 6.65; 1.95; 8.29; 1.68; 0.88; 17.25; 1.55; 1.91; 2.41; 11.00; 3.42 states/eV/cell
VASP energy per entry: -24.0; -54.6; -24.0; -22.1; -17.1; -72.3; -14.5; -24.5; -18.7; -27.8; -22.2; -27.4; -22.2; -27.6; -35.9; -8.9; -22.8; -15.3; -30.3; -21.5 eV per formula unit